1.
{"formula": "AcPm2Si", "functional": "PBE-GGA", "state": "relaxed", "lattice": [[4.8990, 0.0000, 0.0000], [0.0000, 4.8990, 0.0000], [0.0000, 0.0000, 4.8592]], "species": ["Ac", "Pm", "Pm", "Si"], "frac_coords": [[0.0000, 0.0000, 0.0000], [0.0000, 0.5000, 0.5000], [0.5000, 0.0000, 0.5000], [0.5000, 0.5000, 0.0000]], "energy_ev_per_cell": -19.688, "m_tot_mub_per_atom": 0.00}

2.
{"formula": "AcPm12Si4", "functional": "PBE-GGA", "state": "relaxed", "lattice": [[-5.2726, 5.2726, 5.2726], [5.2726, -5.2726, 5.2726], [5.2726, 5.2726, -5.2726]], "species": ["Ac", "Pm", "Pm", "Pm", "Pm", "Pm", "Pm", "Pm", "Pm", "Pm", "Pm", "Pm", "Pm", "Si", "Si", "Si", "Si"], "frac_coords": [[0.0000, 0.0000, 0.0000], [0.1558, 0.8287, 0.3270], [0.1713, 0.3270, 0.4983], [0.1713, 0.6730, 0.8442], [0.3270, 0.1558, 0.8287], [0.3270, 0.4983, 0.1713], [0.4983, 0.1713, 0.3270], [0.5017, 0.8287, 0.6730], [0.6730, 0.5017, 0.8287], [0.6730, 0.8442, 0.1713], [0.8287, 0.3270, 0.1558], [0.8287, 0.6730, 0.5017], [0.8442, 0.1713, 0.6730], [0.0000, 0.0000, 0.5000], [0.0000, 0.5000, 0.0000], [0.5000, 0.0000, 0.0000], [0.5000, 0.5000, 0.5000]], "energy_ev_per_cell": -83.573, "m_tot_mub_per_atom": 0.00}

3.
{"formula": "AcPmSiSn", "functional": "PBE-GGA", "state": "relaxed", "lattice": [[0.0000, 3.8776, 3.8776], [3.8776, 0.0000, 3.8776], [3.8776, 3.8776, 0.0000]], "species": ["Ac", "Pm", "Si", "Sn"], "frac_coords": [[0.0000, 0.0000, 0.0000], [0.5000, 0.5000, 0.5000], [0.2500, 0.2500, 0.2500], [0.7500, 0.7500, 0.7500]], "energy_ev_per_cell": -19.840, "m_tot_mub_per_atom": 0.00}

4.
{"formula": "AcPmZnSi", "functional": "PBE-GGA", "state": "relaxed", "lattice": [[0.0000, 3.7495, 3.7495], [3.7495, 0.0000, 3.7495], [3.7495, 3.7495, 0.0000]], "species": ["Ac", "Pm", "Zn", "Si"], "frac_coords": [[0.0000, 0.0000, 0.0000], [0.5000, 0.5000, 0.5000], [0.2500, 0.2500, 0.2500], [0.7500, 0.7500, 0.7500]], "energy_ev_per_cell": -16.947, "m_tot_mub_per_atom": 0.00}

5.
{"formula": "Ac6Pm5Sm2", "functional": "PBE-GGA", "state": "relaxed", "lattice": [[11.4378, 0.0000, 0.0000], [0.0000, 23.9551, 0.0000], [0.0000, 0.0000, 3.7740]], "species": ["Ac", "Ac", "Ac", "Ac", "Ac", "Ac", "Ac", "Ac", "Ac", "Ac", "Ac", "Ac", "Pm", "Pm", "Pm", "Pm", "Pm", "Pm", "Pm", "Pm", "Pm", "Pm", "Sm", "Sm", "Sm", "Sm"], "frac_coords": [[0.0197, 0.1119, 0.0000], [0.1463, 0.3855, 0.0000], [0.1659, 0.6331, 0.5000], [0.3341, 0.1331, 0.5000], [0.3537, 0.8855, 0.0000], [0.4803, 0.6119, 0.0000], [0.5197, 0.3881, 0.0000], [0.6463, 0.1145, 0.0000], [0.6659, 0.8669, 0.5000], [0.8341, 0.3669, 0.5000], [0.8537, 0.6145, 0.0000], [0.9803, 0.8881, 0.0000], [0.0000, 0.5000, 0.5000], [0.0860, 0.2494, 0.5000], [0.1660, 0.9965, 0.5000], [0.3340, 0.4965, 0.5000], [0.4140, 0.7494, 0.5000], [0.5000, 0.0000, 0.5000], [0.5860, 0.2506, 0.5000], [0.6660, 0.5035, 0.5000], [0.8340, 0.0035, 0.5000], [0.9140, 0.7506, 0.5000], [0.1641, 0.7680, 0.0000], [0.3359, 0.2680, 0.0000], [0.6641, 0.7320, 0.0000], [0.8359, 0.2320, 0.0000]], "energy_ev_per_cell": -111.856, "formation_enthalpy_0k_ev_per_atom": 0.1472, "m_tot_mub_per_atom": 0.00}

6.
{"formula": "Ac3PmSm2", "functional": "PBE-GGA", "state": "relaxed", "lattice": [[5.4393, -3.8045, 0.0000], [5.4393, 3.8045, 0.0000], [-5.4316, 0.0000, 11.4341]], "species": ["Ac", "Ac", "Ac", "Ac", "Ac", "Ac", "Pm", "Pm", "Sm", "Sm", "Sm", "Sm"], "frac_coords": [[0.1245, 0.8755, 0.7500], [0.2082, 0.4586, 0.9167], [0.4586, 0.2082, 0.4167], [0.5414, 0.7918, 0.5833], [0.7918, 0.5414, 0.0833], [0.8755, 0.1245, 0.2500], [0.3756, 0.6244, 0.2500], [0.6244, 0.3756, 0.7500], [0.0417, 0.2917, 0.5832], [0.2917, 0.0417, 0.0832], [0.7083, 0.9583, 0.9168], [0.9583, 0.7083, 0.4168]], "energy_ev_per_cell": -52.389, "formation_enthalpy_0k_ev_per_atom": 0.0533, "m_tot_mub_per_atom": 0.00}

7.
{"formula": "Ac2Pm3Sm2", "functional": "PBE-GGA", "state": "relaxed", "lattice": [[9.0541, -1.8433, 0.0000], [9.0541, 1.8433, 0.0000], [-4.3404, 0.0000, 7.8872]], "species": ["Ac", "Ac", "Pm", "Pm", "Pm", "Sm", "Sm"], "frac_coords": [[0.1444, 0.1444, 0.3248], [0.8556, 0.8556, 0.6752], [0.0000, 0.0000, 0.5000], [0.2111, 0.2111, 0.8107], [0.7889, 0.7889, 0.1893], [0.4335, 0.4335, 0.0948], [0.5665, 0.5665, 0.9052]], "energy_ev_per_cell": -31.174, "formation_enthalpy_0k_ev_per_atom": 0.1048, "m_tot_mub_per_atom": 0.00}

8.
{"formula": "AcPm3Sm8", "functional": "PBE-GGA", "state": "relaxed", "lattice": [[-3.2490, 5.8525, 5.9089], [3.2490, -5.8525, 5.9089], [3.2490, 5.8525, -5.9089]], "species": ["Ac", "Pm", "Pm", "Pm", "Sm", "Sm", "Sm", "Sm", "Sm", "Sm", "Sm", "Sm"], "frac_coords": [[0.0000, 0.0000, 0.0000], [0.2621, 0.5000, 0.7621], [0.5000, 0.0000, 0.5000], [0.7379, 0.5000, 0.2379], [0.0764, 0.8243, 0.2521], [0.2630, 0.0211, 0.7581], [0.2630, 0.5049, 0.2419], [0.4278, 0.1757, 0.2521], [0.5722, 0.8243, 0.7479], [0.7370, 0.4951, 0.7581], [0.7370, 0.9789, 0.2419], [0.9236, 0.1757, 0.7479]], "energy_ev_per_cell": -52.419, "formation_enthalpy_0k_ev_per_atom": 0.3079, "m_tot_mub_per_atom": 0.00}